No. 1
Density functional theory data (PBE) for crystalline Cs2YBiBr6 at its relaxed geometry.

The space group is I4/mmm (No. 139) and the conventional cell measures 8.087, 8.087 and 13.740 Å, with angles of 90.00, 90.00 and 90.00 degrees. The asymmetric unit holds Cs at (0.000, 0.500, 0.250), Y at (0.000, 0.000, 0.000), Bi at (0.000, 0.000, 0.500), Br at (0.000, 0.000, 0.203) and Br at (0.244, 0.244, 0.000).

As for the uncorrected formation energy: -135 kJ/mol of atoms. The calculation puts the total magnetization at 0.0 μB per formula unit. The density of states at the Fermi level comes out at 0.0 states/eV per cell. The value obtained for the total DFT energy (no corrections) is -3.611 eV per atom. Its calculated volume is 44.92 Å³/atom.

---

No. 2
Density functional theory data (PBE) for crystalline LiNpHgO4 at its relaxed geometry.

The space group is Imma (No. 74) and the conventional cell measures 6.889, 7.146 and 8.331 Å, with angles of 90.00, 90.00 and 90.00 degrees. The asymmetric unit holds Li at (0.250, 0.250, 0.250), Np at (0.000, 0.000, 0.000), Hg at (0.000, 0.250, 0.593), O at (0.000, 0.033, 0.232) and O at (0.200, 0.250, 0.000).

As for the uncorrected formation energy: -191 kJ/mol of atoms. The calculation puts the total magnetization at 1.9 μB per formula unit. The density of states at the Fermi level comes out at 15.0 states/eV per cell. The value obtained for the total DFT energy (no corrections) is -6.974 eV per atom. Its calculated volume is 14.65 Å³/atom.

---

No. 3
Density functional theory data (PBE) for crystalline LaAlCd at its relaxed geometry.

The space group is Pnma (No. 62) and the conventional cell measures 6.522, 5.048 and 9.408 Å, with angles of 90.00, 90.00 and 90.00 degrees. The asymmetric unit holds La at (0.195, 0.250, 0.078), Al at (0.175, 0.250, 0.409) and Cd at (0.017, 0.250, 0.716).

The calculation puts the energy relative to the elements at -0.2983 eV/atom. The calculation puts the total magnetization at 0.0 μB per formula unit. The density of states at the Fermi level comes out at 6.5 states/eV per cell. The value obtained for the total DFT energy (no corrections) is -3.493 eV per atom. Its calculated volume is 25.81 Å³/atom.

---

No. 4
Density functional theory data (PBE) for crystalline IrC2 at its relaxed geometry.

The space group is C2/m (No. 12) and the conventional cell measures 5.185, 4.170 and 2.650 Å, with angles of 90.00, 103.17 and 90.00 degrees. The asymmetric unit holds Ir at (0.000, 0.000, 0.000) and C at (0.072, 0.500, 0.779).

The calculation puts the energy relative to the elements at 0.9745 eV/atom. The calculation puts the total magnetization at 0.0 μB per formula unit. As for the offset from the most stable computed form: 0.385 eV per atom. The density of states at the Fermi level comes out at 3.2 states/eV per cell. The value obtained for the total DFT energy (no corrections) is -8.128 eV per atom. Its calculated volume is 9.30 Å³/atom.

---

No. 5
Density functional theory data (PBE) for crystalline TlCdNi2 at its relaxed geometry.

The space group is I-42d (No. 122) and the conventional cell measures 7.078, 7.078 and 5.712 Å, with angles of 90.00, 90.00 and 90.00 degrees. The asymmetric unit holds Tl at (0.000, 0.000, 0.000), Cd at (0.000, 0.000, 0.500) and Ni at (0.249, 0.250, 0.125).

The calculation puts the energy relative to the elements at 0.4576 eV/atom. The calculation puts the total magnetization at 0.0 μB per formula unit. The density of states at the Fermi level comes out at 8.2 states/eV per cell. The value obtained for the total DFT energy (no corrections) is -3.253 eV per atom. Its calculated volume is 17.88 Å³/atom.

---

No. 6
Density functional theory data (PBE) for crystalline Ho2Sc6In at its relaxed geometry.

The space group is Immm (No. 71) and the conventional cell measures 3.278, 9.607 and 14.834 Å, with angles of 90.00, 90.00 and 90.00 degrees. The asymmetric unit holds Ho at (0.000, 0.000, 0.147), Sc at (0.000, 0.286, 0.500), Sc at (0.000, 0.337, 0.179) and In at (0.000, 0.500, 0.000).

The calculation puts the energy relative to the elements at 0.0004 eV/atom. The calculation puts the total magnetization at 0.0 μB per formula unit. The density of states at the Fermi level comes out at 26.5 states/eV per cell. The value obtained for the total DFT energy (no corrections) is -5.542 eV per atom. Its calculated volume is 25.95 Å³/atom.

---

No. 7
Density functional theory data (PBE) for crystalline Ta2IrW at its relaxed geometry.

The space group is Cmmm (No. 65) and the conventional cell measures 3.473, 4.452 and 8.641 Å, with angles of 90.00, 90.00 and 90.00 degrees. The asymmetric unit holds Ta at (0.000, 0.000, 0.239), Ir at (0.000, 0.500, 0.000) and W at (0.000, 0.500, 0.500).

The calculation puts the energy relative to the elements at -0.2105 eV/atom. The calculation puts the total magnetization at 0.0 μB per formula unit. As for the offset from the most stable computed form: 0.118 eV per atom. The density of states at the Fermi level comes out at 8.9 states/eV per cell. The value obtained for the total DFT energy (no corrections) is -11.590 eV per atom. Its calculated volume is 16.70 Å³/atom.

---

No. 8
Density functional theory data (PBE) for crystalline Sr2ZnSnRh2 at its relaxed geometry.

The space group is Ibam (No. 72) and the conventional cell measures 6.342, 14.148 and 6.543 Å, with angles of 90.00, 90.00 and 90.00 degrees. The asymmetric unit holds Sr at (0.240, 0.173, 0.000), Zn at (0.000, 0.000, 0.250), Sn at (0.000, 0.500, 0.250) and Rh at (0.242, 0.096, 0.500).

The calculation puts the energy relative to the elements at -0.4130 eV/atom. The calculation puts the total magnetization at 0.0 μB per formula unit. The density of states at the Fermi level comes out at 14.0 states/eV per cell. The value obtained for the total DFT energy (no corrections) is -4.304 eV per atom. Its calculated volume is 24.46 Å³/atom.

---

No. 9
Density functional theory data (PBE) for crystalline Cs2YHg2Se4 at its relaxed geometry.

The space group is C2/m (No. 12) and the conventional cell measures 16.959, 4.273 and 8.858 Å, with angles of 90.00, 112.36 and 90.00 degrees. The asymmetric unit holds Cs at (0.128, 0.000, 0.070), Y at (0.000, 0.000, 0.500), Hg at (0.188, 0.500, 0.515), Se at (0.022, 0.500, 0.291) and Se at (0.180, 0.000, 0.711).

As for the uncorrected formation energy: -96 kJ/mol of atoms. The calculation puts the total magnetization at 0.0 μB per formula unit. The density of states at the Fermi level comes out at 7.9 states/eV per cell. The value obtained for the total DFT energy (no corrections) is -3.515 eV per atom. Its calculated volume is 32.98 Å³/atom.

---

No. 10
Density functional theory data (PBE) for crystalline Y2LuCu at its relaxed geometry.

The space group is P4/mmm (No. 123) and the conventional cell measures 3.484, 3.484 and 8.647 Å, with angles of 90.00, 90.00 and 90.00 degrees. The asymmetric unit holds Y at (0.000, 0.000, 0.202), Lu at (0.500, 0.500, 0.500) and Cu at (0.500, 0.500, 0.000).

The calculation puts the energy relative to the elements at -0.0796 eV/atom. The calculation puts the total magnetization at 0.0 μB per formula unit. As for the offset from the most stable computed form: 0.000 eV per atom. The density of states at the Fermi level comes out at 5.5 states/eV per cell. The value obtained for the total DFT energy (no corrections) is -5.466 eV per atom. Its calculated volume is 26.23 Å³/atom.

---

No. 11
Density functional theory data (PBE) for crystalline AcLa2Nd8 at its relaxed geometry.

The space group is C2/m (No. 12) and the conventional cell measures 19.975, 7.272 and 5.736 Å, with angles of 90.00, 93.87 and 90.00 degrees. The asymmetric unit holds Ac at (0.000, 0.000, 0.000), La at (0.215, 0.500, 0.256), Nd at (0.044, 0.500, 0.242), Nd at (0.131, 0.268, 0.730) and Nd at (0.187, 0.000, 0.230).

The calculation puts the energy relative to the elements at 0.1331 eV/atom. The calculation puts the total magnetization at 0.0 μB per formula unit. As for the offset from the most stable computed form: 0.021 eV per atom. The density of states at the Fermi level comes out at 34.4 states/eV per cell. The value obtained for the total DFT energy (no corrections) is -4.604 eV per atom. Its calculated volume is 37.79 Å³/atom.

---

No. 12
Density functional theory data (PBE) for crystalline Pr3RhAu3 at its relaxed geometry.

The space group is Imm2 (No. 44) and the conventional cell measures 3.934, 4.604 and 19.725 Å, with angles of 90.00, 90.00 and 90.00 degrees. The asymmetric unit holds Pr at (0.000, 0.000, 0.000), Pr at (0.000, 0.000, 0.364), Pr at (0.000, 0.500, 0.195), Rh at (0.000, 0.500, 0.757), Au at (0.000, 0.000, 0.531), Au at (0.000, 0.000, 0.838) and Au at (0.000, 0.500, 0.622).

The calculation puts the energy relative to the elements at -0.7238 eV/atom. The calculation puts the total magnetization at 0.0 μB per formula unit. The density of states at the Fermi level comes out at 9.8 states/eV per cell. The value obtained for the total DFT energy (no corrections) is -5.227 eV per atom. Its calculated volume is 25.52 Å³/atom.